# Cu2IrRhO6

A geometry-optimized Cu2IrRhO6 structure (GGA-PBE, Alexandria).

Lattice parameters (Å, degrees): 5.5010 5.5010 5.5010 56.11 56.11 56.11
Fractional coordinates of all 10 atoms:
Cu 0.2478 0.2478 0.2478
Cu 0.7522 0.7522 0.7522
Ir 0.0000 0.0000 0.0000
Rh 0.5000 0.5000 0.5000
O 0.1081 0.3832 0.7573
O 0.2427 0.8919 0.6168
O 0.3832 0.7573 0.1081
O 0.6169 0.2427 0.8919
O 0.7573 0.1081 0.3832
O 0.8919 0.6169 0.2427

The space-group type is No. 148. The uncorrected formation energy is -5.73 eV per formula unit.